A geometry-optimized Pm6TeC2 structure. Source: Alexandria, functional PBE-GGA.

Results
* raw formation energy: -208 meV/atom
* crystal system: monoclinic

Unit cell a=8.9763 b=8.9763 c=7.0381 alpha=98.56 beta=98.56 gamma=64.95
Last column: nearest neighbours and their distance in Å.
Element x y z (fractional)
Pm1 0.0261 0.3698 0.6717  2 C 2.47-2.74
Pm2 0.0260 0.7542 0.8333  1 C 2.44
Pm3 0.2458 0.9740 0.6667  1 C 2.44
Pm4 0.3325 0.3965 0.0950  2 C 2.42-2.64
Pm5 0.3698 0.0261 0.1717  2 C 2.47-2.74
Pm6 0.3965 0.3325 0.5950  2 C 2.42-2.64
Pm7 0.6035 0.6675 0.4050  2 C 2.42-2.64
Pm8 0.6302 0.9739 0.8283  2 C 2.47-2.74
Pm9 0.6675 0.6035 0.9050  2 C 2.42-2.64
Pm10 0.7542 0.0260 0.3333  1 C 2.44
Pm11 0.9740 0.2458 0.1667  1 C 2.44
Pm12 0.9739 0.6302 0.3283  2 C 2.47-2.74
Te1 0.1700 0.8300 0.2500  6 Pm 3.12-3.49
Te2 0.8300 0.1700 0.7500  6 Pm 3.12-3.49
C1 0.1759 0.3412 0.3474  4 Pm 2.42-2.64
C2 0.3412 0.1759 0.8474  4 Pm 2.42-2.64
C3 0.6588 0.8241 0.1526  4 Pm 2.42-2.64
C4 0.8241 0.6588 0.6526  4 Pm 2.42-2.64

***

A geometry-optimized Pm3Te2C structure. Source: Alexandria, functional PBE-GGA.

Results
* raw formation energy: -970 meV/atom
* E above lowest polymorph: 29 meV per atom
* crystal system: monoclinic

Unit cell a=7.6454 b=7.6454 c=7.9697 alpha=105.03 beta=105.03 gamma=47.41
Last column: nearest neighbours and their distance in Å.
Element x y z (fractional)
Pm1 0.0489 0.9511 0.7500  1 C 2.51
Pm2 0.3729 0.3749 0.4362  2 C 2.62-2.63
Pm3 0.3749 0.3729 0.9362  2 C 2.62-2.63
Pm4 0.6251 0.6271 0.0638  2 C 2.62-2.63
Pm5 0.6271 0.6251 0.5638  2 C 2.62-2.63
Pm6 0.9511 0.0489 0.2500  1 C 2.51
Te1 0.1780 0.1800 0.0897  6 Pm 3.13-3.29
Te2 0.1800 0.1780 0.5897  6 Pm 3.13-3.29
Te3 0.8200 0.8220 0.4103  6 Pm 3.13-3.29
Te4 0.8220 0.8200 0.9103  6 Pm 3.13-3.29
C1 0.4567 0.5433 0.7500  5 Pm 2.51-2.63
C2 0.5433 0.4567 0.2500  5 Pm 2.51-2.63

***

A geometry-optimized Pm3Te2C structure. Source: Alexandria, functional PBE-GGA.

Results
* raw formation energy: -999 meV/atom
* E above lowest polymorph: 0 meV per atom
* crystal system: monoclinic

Unit cell a=7.1749 b=7.1749 c=7.6343 alpha=99.09 beta=99.09 gamma=119.96
Last column: nearest neighbours and their distance in Å.
Element x y z (fractional)
Pm1 0.0567 0.4316 0.7948  2 C 2.69-2.71
Pm2 0.1921 0.1921 0.1982  2 C 2.69
Pm3 0.4316 0.0567 0.7948  2 C 2.69-2.71
Pm4 0.5684 0.9433 0.2052  2 C 2.69-2.71
Pm5 0.8079 0.8079 0.8018  2 C 2.69
Pm6 0.9433 0.5684 0.2052  2 C 2.69-2.71
Te1 0.0000 0.0000 0.5000  6 Pm 3.04-3.33
Te2 0.3463 0.6537 0.5000  6 Pm 3.09-3.35
Te3 0.5000 0.5000 0.0000  6 Pm 3.05-3.07
Te4 0.6537 0.3463 0.5000  6 Pm 3.09-3.35
C1 0.1685 0.8315 0.0000  6 Pm 2.69-2.71
C2 0.8315 0.1685 0.0000  6 Pm 2.69-2.71

***

A geometry-optimized Pm4TlTeC structure. Source: Alexandria, functional PBE-GGA.

Results
* raw formation energy: -559 meV/atom
* crystal system: orthorhombic

Unit cell a=8.8080 b=8.8080 c=7.0604 alpha=90.00 beta=90.00 gamma=132.83
Last column: nearest neighbours and their distance in Å.
Element x y z (fractional)
Pm1 0.0000 0.5000 0.0000  2 C 2.49
Pm2 0.0000 0.5000 0.5000  2 C 2.49
Pm3 0.0889 0.9111 0.7500  1 C 2.57
Pm4 0.4073 0.5927 0.7500  1 C 2.57
Pm5 0.5000 0.0000 0.0000  2 C 2.49
Pm6 0.5000 0.0000 0.5000  2 C 2.49
Pm7 0.5927 0.4073 0.2500  1 C 2.57
Pm8 0.9111 0.0889 0.2500  1 C 2.57
Tl1 0.1113 0.8887 0.2500  9 Pm 3.23-3.55
Tl2 0.8887 0.1113 0.7500  9 Pm 3.23-3.55
Te1 0.3894 0.6106 0.2500  9 Pm 3.28-3.54
Te2 0.6106 0.3894 0.7500  9 Pm 3.28-3.54
C1 0.2479 0.7521 0.7500  6 Pm 2.49-2.57
C2 0.7521 0.2479 0.2500  6 Pm 2.49-2.57

***

A geometry-optimized PmYTeC structure. Source: Alexandria, functional PBE-GGA.

Results
* raw formation energy: -805 meV/atom
* crystal system: trigonal

Unit cell a=7.5506 b=7.5506 c=7.5506 alpha=29.73 beta=29.73 gamma=29.73
Last column: nearest neighbours and their distance in Å.
Element x y z (fractional)
Pm1 0.0000 0.0000 0.0000  3 C 2.63
Y1 0.7920 0.7920 0.7920  3 C 2.60
Te1 0.2259 0.2259 0.2259  3 Y 3.12, 3 Pm 3.23
C1 0.3977 0.3977 0.3977  3 Y 2.60, 3 Pm 2.63

***

A geometry-optimized PmTh4C4 structure. Source: Alexandria, functional PBE-GGA.

Results
* ΔH_f (0 K): -23.5 kJ per mole of atoms
* crystal system: tetragonal

Unit cell a=6.5179 b=6.5179 c=6.5179 alpha=99.64 beta=99.64 gamma=131.70
Last column: nearest neighbours and their distance in Å.
Element x y z (fractional)
Pm1 0.0000 0.0000 0.0000  4 C 2.71
Th1 0.1919 0.6047 0.7966  5 C 2.50-2.73
Th2 0.3953 0.1919 0.5872  5 C 2.50-2.73
Th3 0.6047 0.8081 0.4128  5 C 2.50-2.73
Th4 0.8081 0.3953 0.2034  5 C 2.50-2.73
C1 0.0920 0.3086 0.4006  5 Th 2.50-2.73, 1 Pm 2.71
C2 0.3086 0.9080 0.2166  5 Th 2.50-2.73, 1 Pm 2.71
C3 0.6914 0.0920 0.7834  5 Th 2.50-2.73, 1 Pm 2.71
C4 0.9080 0.6914 0.5994  5 Th 2.50-2.73, 1 Pm 2.71